# 1
DFT (GGA-PBE) results for a relaxed Co5Tc4 crystal.

Unit cell a=5.806 b=5.806 c=5.806 alpha=95.59 beta=95.59 gamma=143.63
Fractional positions:
Co 0.000 0.000 0.000
Co 0.667 0.667 0.333
Co 0.333 0.667 0.000
Co 0.667 0.333 0.000
Co 0.333 0.333 0.667
Tc 0.677 0.000 0.677
Tc 0.323 0.000 0.323
Tc 0.000 0.677 0.677
Tc 0.000 0.323 0.323

Summary:
Volume, Å³/f.u.: 110.3
Size of the total moment, μB/cell: 0.44
Space group: No. 139
Mass density, kg/m³: 10341
E_form, eV per atom: 0.10
Excess energy over the best structure of this formula in the dataset, meV per atom: 0

---

# 2
DFT (GGA-PBE) results for a relaxed TbErMgAl crystal.

Unit cell a=5.185 b=5.185 c=5.185 alpha=60.00 beta=60.00 gamma=60.00
Fractional positions:
Mg 0.000 0.000 0.000
Tb 0.250 0.250 0.250
Al 0.500 0.500 0.500
Er 0.750 0.750 0.750

Summary:
Volume, Å³/f.u.: 98.6
Size of the total moment, μB/cell: 0.00
Space group: No. 216
Mass density, kg/m³: 6358
E_form, eV per atom: -0.27

---

Q: Among the records above, which one has the lowest volume?
A: TbErMgAl